(1)
LaNpCd2O6 PBE optimized geometry; symmetry = R3 (146); crystal system = trigonal; DOS(E_F) = 8.32 states/eV per cell; energy relative to the elements, uncorrected = -2.2886 eV/atom
1.0
2.9304 1.6919 5.2277
-2.9304 1.6919 5.2277
0.0000 -3.3837 5.2277
La Np Cd O
1 1 2 6
Cartesian
0.0000 0.0000 0.0000
0.0000 0.0000 7.6950
0.0000 0.0000 4.3075
0.0000 0.0000 12.3104
-1.6650 0.0104 6.3147
-1.0718 -1.5346 8.8033
0.8235 -1.4471 6.3147
-0.7931 1.6955 8.8033
0.8415 1.4367 6.3147
1.8649 -0.1609 8.8033

=====

(2)
La2CdO PBE optimized geometry; symmetry = I-42d (122); crystal system = tetragonal; DOS(E_F) = 1.51 states/eV per cell; energy relative to the elements, uncorrected = -1.4431 eV/atom
1.0
-3.6363 3.6363 4.2867
3.6363 -3.6363 4.2867
3.6363 3.6363 -4.2867
La Cd O
4 2 2
Cartesian
5.4545 1.0705 -1.0717
1.0705 1.8182 1.0717
-1.8182 2.5658 3.2150
2.5658 1.8182 5.3583
3.6363 0.0000 2.1433
0.0000 0.0000 4.2867
0.0000 0.0000 0.0000
0.0000 3.6363 2.1433

=====

(3)
LaCdO2 PBE optimized geometry; symmetry = R-3m (166); crystal system = trigonal; DOS(E_F) = 1.21 states/eV per cell; energy relative to the elements, uncorrected = -2.1845 eV/atom
1.0
1.8640 1.0762 6.6696
-1.8640 1.0762 6.6696
0.0000 -2.1524 6.6696
La Cd O
1 1 2
Cartesian
0.0000 0.0000 0.0000
0.0000 0.0000 10.0044
0.0000 0.0000 7.7769
0.0000 0.0000 12.2319

=====

(4)
La2Cd2O5 PBE optimized geometry; symmetry = Pnma (62); crystal system = orthorhombic; energy relative to the elements, uncorrected = -2.2990 eV/atom
1.0
6.2008 0.0000 0.0000
0.0000 16.0364 0.0000
0.0000 0.0000 6.0758
La Cd O
8 8 20
Cartesian
0.3876 1.8379 0.1183
0.3876 6.1803 0.1183
2.7128 9.8561 3.1562
2.7128 14.1985 3.1562
3.4880 1.8379 2.9196
3.4880 6.1803 2.9196
5.8132 9.8561 5.9574
5.8132 14.1985 5.9574
0.0000 0.0000 3.0379
0.0000 8.0182 3.0379
0.4558 4.0091 3.2770
2.6446 12.0273 0.2391
3.1004 0.0000 0.0000
3.1004 8.0182 0.0000
3.5562 4.0091 5.8367
5.7450 12.0273 2.7988
0.4181 10.2694 3.7913
0.4181 13.7852 3.7913
0.4226 12.0273 0.6818
1.0755 8.4773 1.0465
1.0755 15.5773 1.0465
2.0249 0.4591 4.0844
2.0249 7.5591 4.0844
2.6778 4.0091 3.7197
2.6823 2.2512 0.7534
2.6823 5.7670 0.7534
3.5185 10.2694 5.3224
3.5185 13.7852 5.3224
3.5230 12.0273 2.3561
4.1759 8.4773 1.9914
4.1759 15.5773 1.9914
5.1253 0.4591 5.0292
5.1253 7.5591 5.0292
5.7782 4.0091 5.3940
5.7827 2.2512 2.2845
5.7827 5.7670 2.2845

=====

Repeat the second record exactly.
La2CdO PBE optimized geometry; symmetry = I-42d (122); crystal system = tetragonal; DOS(E_F) = 1.51 states/eV per cell; energy relative to the elements, uncorrected = -1.4431 eV/atom
1.0
-3.6363 3.6363 4.2867
3.6363 -3.6363 4.2867
3.6363 3.6363 -4.2867
La Cd O
4 2 2
Cartesian
5.4545 1.0705 -1.0717
1.0705 1.8182 1.0717
-1.8182 2.5658 3.2150
2.5658 1.8182 5.3583
3.6363 0.0000 2.1433
0.0000 0.0000 4.2867
0.0000 0.0000 0.0000
0.0000 3.6363 2.1433

=====

> energy relative to the elements, uncorrected of number 1 (LaNpCd2O6)?

-2.2886 eV/atom

=====

> Among the records above, which one has the highest energy relative to the elements, uncorrected?

La2CdO